{
  "formula": "Nd2Y3HoS6",
  "functional": "PBE",
  "state": "relaxed",
  "lattice_angstrom": [[8.634, -1.973, 0.000], [8.634, 1.973, 0.000], [-1.863, 0.000, 7.757]],
  "species": ["Nd", "Nd", "Y", "Y", "Y", "Ho", "S", "S", "S", "S", "S", "S"],
  "fractional_positions": [[0.168, 0.168, 0.336], [0.832, 0.832, 0.664], [0.169, 0.169, 0.833], [0.500, 0.500, 0.500], [0.831, 0.831, 0.167], [0.500, 0.500, 0.000], [0.004, 0.004, 0.755], [0.335, 0.335, 0.927], [0.337, 0.337, 0.409], [0.663, 0.663, 0.591], [0.665, 0.665, 0.073], [0.996, 0.996, 0.245]],
  "final_energy_ev_per_atom": -6.86,
  "sg": "No. 12",
  "e_form_raw_ev_per_atom": -2.001,
  "m_tot_mub_per_cell": 0.00
}